# Mg3CdBi PBE-GGA relaxed
data_Mg3CdBi
_chemical_formula_sum 'Mg3 Cd1 Bi1'
_space_group_name_H-M_alt 'P m -3 m'
_space_group_IT_number 221
_space_group_name_Hall '-P 4 2 3'
_cell_length_a 5.2361
_cell_length_b 5.2361
_cell_length_c 5.2361
_cell_angle_alpha 90.00
_cell_angle_beta 90.00
_cell_angle_gamma 90.00
loop_
_atom_site_label
_atom_site_type_symbol
_atom_site_fract_x
_atom_site_fract_y
_atom_site_fract_z
Mg1 Mg 0.0000 0.0000 0.5000
Cd1 Cd 0.0000 0.0000 0.0000
Bi1 Bi 0.5000 0.5000 0.5000
# size of the total moment	0.00	Bohr magnetons per cell
# crystal system	cubic
# E above lowest polymorph	0.3338	eV per atom
# energy of formation from the pure elements	0.2469	eV per atom

---

# HfTi2Pd5 PBE-GGA relaxed
data_HfTi2Pd5
_chemical_formula_sum 'Hf2 Ti4 Pd10'
_space_group_name_H-M_alt 'P b a m'
_space_group_IT_number 55
_cell_length_a 5.6632
_cell_length_b 11.3769
_cell_length_c 4.0151
_cell_angle_alpha 90.00
_cell_angle_beta 90.00
_cell_angle_gamma 90.00
loop_
_space_group_symop_operation_xyz
'x,y,z'
'-x,-y,-z'
'-x,-y,z'
'x,y,-z'
'x+1/2,-y+1/2,-z'
'-x+1/2,y+1/2,z'
'-x+1/2,y+1/2,-z'
'x+1/2,-y+1/2,z'
loop_
_atom_site_label
_atom_site_type_symbol
_atom_site_fract_x
_atom_site_fract_y
_atom_site_fract_z
Hf1 Hf 0.0000 0.0000 0.0000
Ti1 Ti 0.2026 0.3585 0.5000
Pd1 Pd 0.0000 0.5000 0.0000
Pd2 Pd 0.0209 0.7531 0.0000
Pd3 Pd 0.2280 0.1180 0.5000
# size of the total moment	1.56	Bohr magnetons per cell
# crystal system	orthorhombic
# energy of formation from the pure elements	-0.5787	eV per atom

---

# NaSr2Ta PBE-GGA relaxed
data_NaSr2Ta
_chemical_formula_sum 'Na4 Sr8 Ta4'
_space_group_name_H-M_alt 'F m -3 m'
_space_group_IT_number 225
_space_group_name_Hall '-F 4 2 3'
_cell_length_a 8.3030
_cell_length_b 8.3030
_cell_length_c 8.3030
_cell_angle_alpha 90.00
_cell_angle_beta 90.00
_cell_angle_gamma 90.00
loop_
_atom_site_label
_atom_site_type_symbol
_atom_site_fract_x
_atom_site_fract_y
_atom_site_fract_z
Na1 Na 0.0000 0.0000 0.0000
Sr1 Sr 0.2500 0.2500 0.2500
Ta1 Ta 0.0000 0.0000 0.5000
# size of the total moment	15.99	Bohr magnetons per cell
# crystal system	cubic
# E above lowest polymorph	0.0000	eV per atom
# energy of formation from the pure elements	0.9088	eV per atom

---

# Cs2K3Na2 PBE-GGA relaxed
data_Cs2K3Na2
_chemical_formula_sum 'Cs4 K6 Na4'
_space_group_name_H-M_alt 'C 1 2/m 1'
_space_group_IT_number 12
_cell_length_a 15.5964
_cell_length_b 6.5339
_cell_length_c 10.9455
_cell_angle_alpha 90.00
_cell_angle_beta 112.61
_cell_angle_gamma 90.00
loop_
_space_group_symop_operation_xyz
'x,y,z'
'-x,-y,-z'
'-x,y,-z'
'x,-y,z'
'x+1/2,y+1/2,z'
'-x+1/2,-y+1/2,-z'
'-x+1/2,y+1/2,-z'
'x+1/2,-y+1/2,z'
loop_
_atom_site_label
_atom_site_type_symbol
_atom_site_fract_x
_atom_site_fract_y
_atom_site_fract_z
Cs1 Cs 0.1464 0.0000 0.2880
K1 K 0.0000 0.5000 0.5000
K2 K 0.1323 0.5000 0.9437
Na1 Na 0.1383 0.0000 0.7025
# size of the total moment	0.00	Bohr magnetons per cell
# crystal system	monoclinic
# E above lowest polymorph	0.0027	eV per atom
# energy of formation from the pure elements	0.0175	eV per atom

---

# TlBiSCl2 PBE-GGA relaxed
data_TlBiSCl2
_chemical_formula_sum 'Tl1 Bi1 S1 Cl2'
_space_group_name_H-M_alt 'P 4/m m m'
_space_group_IT_number 123
_space_group_name_Hall '-P 4 2'
_cell_length_a 5.3024
_cell_length_b 5.3024
_cell_length_c 5.2911
_cell_angle_alpha 90.00
_cell_angle_beta 90.00
_cell_angle_gamma 90.00
loop_
_atom_site_label
_atom_site_type_symbol
_atom_site_fract_x
_atom_site_fract_y
_atom_site_fract_z
Tl1 Tl 0.0000 0.0000 0.0000
Bi1 Bi 0.5000 0.5000 0.5000
S1 S 0.0000 0.0000 0.5000
Cl1 Cl 0.0000 0.5000 0.0000
# size of the total moment	1.38	Bohr magnetons per cell
# crystal system	tetragonal
# E above lowest polymorph	0.7939	eV per atom
# E_form (uncorrected)	0.04	eV/atom

---

# CeHfPd PBE-GGA relaxed
data_CeHfPd
_chemical_formula_sum 'Ce2 Hf2 Pd2'
_space_group_name_H-M_alt 'P 4/n m m'
_space_group_IT_number 129
_cell_length_a 3.3991
_cell_length_b 3.3991
_cell_length_c 11.0799
_cell_angle_alpha 90.00
_cell_angle_beta 90.00
_cell_angle_gamma 90.00
loop_
_space_group_symop_operation_xyz
'x,y,z'
'-x,-y,-z'
'-y+1/2,x,z'
'y+1/2,-x,-z'
'-x+1/2,-y+1/2,z'
'x+1/2,y+1/2,-z'
'y,-x+1/2,z'
'-y,x+1/2,-z'
'x+1/2,-y,-z'
'-x+1/2,y,z'
'-y,-x,-z'
'y,x,z'
'-x,y+1/2,-z'
'x,-y+1/2,z'
'y+1/2,x+1/2,-z'
'-y+1/2,-x+1/2,z'
loop_
_atom_site_label
_atom_site_type_symbol
_atom_site_fract_x
_atom_site_fract_y
_atom_site_fract_z
Ce1 Ce 0.2500 0.2500 0.1011
Hf1 Hf 0.2500 0.2500 0.6957
Pd1 Pd 0.2500 0.2500 0.4254
# size of the total moment	0.00	Bohr magnetons per cell
# crystal system	tetragonal
# E above lowest polymorph	0.0287	eV per atom
# energy of formation from the pure elements	-0.3500	eV per atom

---

# SbAuCl2 PBE-GGA relaxed
data_SbAuCl2
_chemical_formula_sum 'Sb1 Au1 Cl2'
_space_group_name_H-M_alt 'P 1'
_space_group_IT_number 1
_cell_length_a 4.4143
_cell_length_b 5.0170
_cell_length_c 6.4873
_cell_angle_alpha 106.82
_cell_angle_beta 99.42
_cell_angle_gamma 102.35
loop_
_space_group_symop_operation_xyz
'x,y,z'
loop_
_atom_site_label
_atom_site_type_symbol
_atom_site_fract_x
_atom_site_fract_y
_atom_site_fract_z
Sb1 Sb 0.0000 0.0000 0.0000
Au1 Au 0.4421 0.2199 0.8350
Cl1 Cl 0.3032 0.7941 0.2392
Cl2 Cl 0.7995 0.5291 0.6799
# size of the total moment	0.00	Bohr magnetons per cell
# crystal system	triclinic
# E above lowest polymorph	0.0622	eV per atom
# E_form (uncorrected)	-0.38	eV/atom

---

# LaSbAs2 PBE-GGA relaxed
data_LaSbAs2
_chemical_formula_sum 'La2 Sb2 As4'
_space_group_name_H-M_alt 'I m m m'
_space_group_IT_number 71
_space_group_name_Hall '-I 2 2'
_cell_length_a 4.0905
_cell_length_b 5.3229
_cell_length_c 9.1083
_cell_angle_alpha 90.00
_cell_angle_beta 90.00
_cell_angle_gamma 90.00
loop_
_atom_site_label
_atom_site_type_symbol
_atom_site_fract_x
_atom_site_fract_y
_atom_site_fract_z
La1 La 0.0000 0.0000 0.0000
Sb1 Sb 0.0000 0.0000 0.5000
As1 As 0.0000 0.5000 0.2250
# size of the total moment	0.00	Bohr magnetons per cell
# crystal system	orthorhombic
# E_form (uncorrected)	-0.56	eV/atom

---

# Rb4Nd3HoTe8 PBE-GGA relaxed
data_Rb4Nd3HoTe8
_chemical_formula_sum 'Rb12 Nd9 Ho3 Te24'
_space_group_name_H-M_alt 'R -3 m'
_space_group_IT_number 166
_space_group_name_Hall '-R 3 2"'
_cell_length_a 9.2330
_cell_length_b 9.2330
_cell_length_c 25.7109
_cell_angle_alpha 90.00
_cell_angle_beta 90.00
_cell_angle_gamma 120.00
loop_
_atom_site_label
_atom_site_type_symbol
_atom_site_fract_x
_atom_site_fract_y
_atom_site_fract_z
Rb1 Rb 0.0000 0.0000 0.0000
Rb2 Rb 0.0000 0.5000 0.0000
Nd1 Nd 0.0000 0.5000 0.5000
Ho1 Ho 0.0000 0.0000 0.5000
Te1 Te 0.0000 0.0000 0.2354
Te2 Te 0.0077 0.5038 0.2341
# size of the total moment	0.00	Bohr magnetons per cell
# crystal system	trigonal
# E_form (uncorrected)	-1.40	eV/atom

---

# InPW3 PBE-GGA relaxed
data_InPW3
_chemical_formula_sum 'In1 P1 W3'
_space_group_name_H-M_alt 'P m -3 m'
_space_group_IT_number 221
_space_group_name_Hall '-P 4 2 3'
_cell_length_a 4.4986
_cell_length_b 4.4986
_cell_length_c 4.4986
_cell_angle_alpha 90.00
_cell_angle_beta 90.00
_cell_angle_gamma 90.00
loop_
_atom_site_label
_atom_site_type_symbol
_atom_site_fract_x
_atom_site_fract_y
_atom_site_fract_z
In1 In 0.0000 0.0000 0.0000
P1 P 0.5000 0.5000 0.5000
W1 W 0.0000 0.5000 0.5000
# size of the total moment	0.00	Bohr magnetons per cell
# crystal system	cubic
# E above lowest polymorph	0.0000	eV per atom
# energy of formation from the pure elements	0.8212	eV per atom

---

# V2FeCl PBE-GGA relaxed
data_V2FeCl
_chemical_formula_sum 'V8 Fe4 Cl4'
_space_group_name_H-M_alt 'I -4 2 d'
_space_group_IT_number 122
_space_group_name_Hall 'I -4 2bw'
_cell_length_a 6.1455
_cell_length_b 6.1455
_cell_length_c 5.9688
_cell_angle_alpha 90.00
_cell_angle_beta 90.00
_cell_angle_gamma 90.00
loop_
_atom_site_label
_atom_site_type_symbol
_atom_site_fract_x
_atom_site_fract_y
_atom_site_fract_z
V1 V 0.2500 0.2500 0.3750
Fe1 Fe 0.0000 0.0000 0.0000
Cl1 Cl 0.0000 0.0000 0.5000
# size of the total moment	0.02	Bohr magnetons per cell
# crystal system	tetragonal
# E above lowest polymorph	0.0022	eV per atom
# E_form (uncorrected)	0.54	eV/atom

---

# K2BeSe PBE-GGA relaxed
data_K2BeSe
_chemical_formula_sum 'K2 Be1 Se1'
_space_group_name_H-M_alt 'P 4/m m m'
_space_group_IT_number 123
_space_group_name_Hall '-P 4 2'
_cell_length_a 4.3433
_cell_length_b 4.3433
_cell_length_c 6.3154
_cell_angle_alpha 90.00
_cell_angle_beta 90.00
_cell_angle_gamma 90.00
loop_
_atom_site_label
_atom_site_type_symbol
_atom_site_fract_x
_atom_site_fract_y
_atom_site_fract_z
K1 K 0.0000 0.0000 0.2326
Be1 Be 0.5000 0.5000 0.5000
Se1 Se 0.5000 0.5000 0.0000
# size of the total moment	0.00	Bohr magnetons per cell
# crystal system	tetragonal
# E above lowest polymorph	0.4239	eV per atom
# E_form (uncorrected)	0.11	eV/atom

---

# Pm6Sm2DyY3 PBE-GGA relaxed
data_Pm6Sm2DyY3
_chemical_formula_sum 'Pm12 Sm4 Dy2 Y6'
_space_group_name_H-M_alt 'C 1 2/m 1'
_space_group_IT_number 12
_cell_length_a 6.2774
_cell_length_b 10.8709
_cell_length_c 11.9443
_cell_angle_alpha 90.00
_cell_angle_beta 100.06
_cell_angle_gamma 90.00
loop_
_space_group_symop_operation_xyz
'x,y,z'
'-x,-y,-z'
'-x,y,-z'
'x,-y,z'
'x+1/2,y+1/2,z'
'-x+1/2,-y+1/2,-z'
'-x+1/2,y+1/2,-z'
'x+1/2,-y+1/2,z'
loop_
_atom_site_label
_atom_site_type_symbol
_atom_site_fract_x
_atom_site_fract_y
_atom_site_fract_z
Pm1 Pm 0.2491 0.0000 0.2491
Pm2 Pm 0.2501 0.1664 0.7506
Sm1 Sm 0.0000 0.3334 0.5000
Dy1 Dy 0.0000 0.0000 0.5000
Y1 Y 0.0000 0.1666 0.0000
Y2 Y 0.0000 0.5000 0.0000
# size of the total moment	0.00	Bohr magnetons per cell
# crystal system	monoclinic
# energy of formation from the pure elements	0.0117	eV per atom

---

# Ca3Zn2Hg2 PBE-GGA relaxed
data_Ca3Zn2Hg2
_chemical_formula_sum 'Ca6 Zn4 Hg4'
_space_group_name_H-M_alt 'C m m m'
_space_group_IT_number 65
_space_group_name_Hall '-C 2 2'
_cell_length_a 4.2055
_cell_length_b 22.4294
_cell_length_c 3.7702
_cell_angle_alpha 90.00
_cell_angle_beta 90.00
_cell_angle_gamma 90.00
loop_
_atom_site_label
_atom_site_type_symbol
_atom_site_fract_x
_atom_site_fract_y
_atom_site_fract_z
Ca1 Ca 0.0000 0.0000 0.0000
Ca2 Ca 0.0000 0.1618 0.0000
Zn1 Zn 0.0000 0.2798 0.5000
Hg1 Hg 0.0000 0.4165 0.5000
# size of the total moment	0.00	Bohr magnetons per cell
# crystal system	orthorhombic
# energy of formation from the pure elements	-0.3890	eV per atom

---

# NiBSbI2 PBE-GGA relaxed
data_NiBSbI2
_chemical_formula_sum 'Ni1 B1 Sb1 I2'
_space_group_name_H-M_alt 'P 4/m m m'
_space_group_IT_number 123
_space_group_name_Hall '-P 4 2'
_cell_length_a 4.9520
_cell_length_b 4.9520
_cell_length_c 4.9242
_cell_angle_alpha 90.00
_cell_angle_beta 90.00
_cell_angle_gamma 90.00
loop_
_atom_site_label
_atom_site_type_symbol
_atom_site_fract_x
_atom_site_fract_y
_atom_site_fract_z
Ni1 Ni 0.0000 0.0000 0.0000
B1 B 0.5000 0.5000 0.5000
Sb1 Sb 0.5000 0.5000 0.0000
I1 I 0.0000 0.5000 0.5000
# size of the total moment	0.90	Bohr magnetons per cell
# crystal system	tetragonal
# E above lowest polymorph	0.0822	eV per atom
# E_form (uncorrected)	1.22	eV/atom

---

# GaGe2Te PBE-GGA relaxed
data_GaGe2Te
_chemical_formula_sum 'Ga4 Ge8 Te4'
_space_group_name_H-M_alt 'F m -3 m'
_space_group_IT_number 225
_space_group_name_Hall '-F 4 2 3'
_cell_length_a 7.0685
_cell_length_b 7.0685
_cell_length_c 7.0685
_cell_angle_alpha 90.00
_cell_angle_beta 90.00
_cell_angle_gamma 90.00
loop_
_atom_site_label
_atom_site_type_symbol
_atom_site_fract_x
_atom_site_fract_y
_atom_site_fract_z
Ga1 Ga 0.0000 0.0000 0.0000
Ge1 Ge 0.2500 0.2500 0.2500
Te1 Te 0.0000 0.0000 0.5000
# size of the total moment	0.00	Bohr magnetons per cell
# crystal system	cubic
# E above lowest polymorph	0.1309	eV per atom
# E_form (uncorrected)	0.28	eV/atom

---

# CoCu2Br PBE-GGA relaxed
data_CoCu2Br
_chemical_formula_sum 'Co1 Cu2 Br1'
_space_group_name_H-M_alt 'P 4/m m m'
_space_group_IT_number 123
_space_group_name_Hall '-P 4 2'
_cell_length_a 2.7352
_cell_length_b 2.7352
_cell_length_c 9.4180
_cell_angle_alpha 90.00
_cell_angle_beta 90.00
_cell_angle_gamma 90.00
loop_
_atom_site_label
_atom_site_type_symbol
_atom_site_fract_x
_atom_site_fract_y
_atom_site_fract_z
Co1 Co 0.0000 0.0000 0.0000
Cu1 Cu 0.5000 0.5000 0.1654
Br1 Br 0.0000 0.0000 0.5000
# size of the total moment	1.64	Bohr magnetons per cell
# crystal system	tetragonal
# E above lowest polymorph	0.1800	eV per atom
# E_form (uncorrected)	0.52	eV/atom

---

# FeAgC2 PBE-GGA relaxed
data_FeAgC2
_chemical_formula_sum 'Fe4 Ag4 C8'
_space_group_name_H-M_alt 'F m -3 m'
_space_group_IT_number 225
_space_group_name_Hall '-F 4 2 3'
_cell_length_a 5.4895
_cell_length_b 5.4895
_cell_length_c 5.4895
_cell_angle_alpha 90.00
_cell_angle_beta 90.00
_cell_angle_gamma 90.00
loop_
_atom_site_label
_atom_site_type_symbol
_atom_site_fract_x
_atom_site_fract_y
_atom_site_fract_z
Fe1 Fe 0.0000 0.0000 0.0000
Ag1 Ag 0.0000 0.0000 0.5000
C1 C 0.2500 0.2500 0.2500
# size of the total moment	10.02	Bohr magnetons per cell
# crystal system	cubic
# E above lowest polymorph	0.8623	eV per atom
# energy of formation from the pure elements	2.0268	eV per atom

---

# Ti6BP2 PBE-GGA relaxed
data_Ti6BP2
_chemical_formula_sum 'Ti12 B2 P4'
_space_group_name_H-M_alt 'P 42/m n m'
_space_group_IT_number 136
_space_group_name_Hall '-P 4n 2n'
_cell_length_a 5.4322
_cell_length_b 5.4322
_cell_length_c 10.3336
_cell_angle_alpha 90.00
_cell_angle_beta 90.00
_cell_angle_gamma 90.00
loop_
_atom_site_label
_atom_site_type_symbol
_atom_site_fract_x
_atom_site_fract_y
_atom_site_fract_z
Ti1 Ti 0.1942 0.1942 0.1535
Ti2 Ti 0.2174 0.2174 0.5000
B1 B 0.0000 0.0000 0.0000
P1 P 0.0000 0.0000 0.3335
# size of the total moment	0.00	Bohr magnetons per cell
# crystal system	tetragonal
# energy of formation from the pure elements	-0.5339	eV per atom

---

# InBrF PBE-GGA relaxed
data_InBrF
_chemical_formula_sum 'In4 Br4 F4'
_space_group_name_H-M_alt 'C 1 2/m 1'
_space_group_IT_number 12
_cell_length_a 9.9896
_cell_length_b 4.4961
_cell_length_c 7.0846
_cell_angle_alpha 90.00
_cell_angle_beta 123.23
_cell_angle_gamma 90.00
loop_
_space_group_symop_operation_xyz
'x,y,z'
'-x,-y,-z'
'-x,y,-z'
'x,-y,z'
'x+1/2,y+1/2,z'
'-x+1/2,-y+1/2,-z'
'-x+1/2,y+1/2,-z'
'x+1/2,-y+1/2,z'
loop_
_atom_site_label
_atom_site_type_symbol
_atom_site_fract_x
_atom_site_fract_y
_atom_site_fract_z
In1 In 0.0676 0.0000 0.3597
Br1 Br 0.1978 0.0000 0.1160
F1 F 0.1439 0.5000 0.3890
# size of the total moment	0.00	Bohr magnetons per cell
# crystal system	monoclinic
# E_form (uncorrected)	-1.36	eV/atom

---

Number 1: uncorrected energy -1.669 eV/atom. Number 2: uncorrected energy -7.042 eV/atom. Number 3: uncorrected energy -3.225 eV/atom. Number 4: uncorrected energy -1.074 eV/atom. Number 5: uncorrected energy -2.770 eV/atom. Number 6: uncorrected energy -7.377 eV/atom. Number 7: uncorrected energy -3.157 eV/atom. Number 8: uncorrected energy -5.143 eV/atom. Number 9: uncorrected energy -4.391 eV/atom. Number 10: uncorrected energy -8.580 eV/atom. Number 11: uncorrected energy -6.598 eV/atom. Number 12: uncorrected energy -2.239 eV/atom. Number 13: uncorrected energy -5.150 eV/atom. Number 14: uncorrected energy -1.697 eV/atom. Number 15: uncorrected energy -2.715 eV/atom. Number 16: uncorrected energy -3.567 eV/atom. Number 17: uncorrected energy -3.719 eV/atom. Number 18: uncorrected energy -5.414 eV/atom. Number 19: uncorrected energy -7.741 eV/atom. Number 20: uncorrected energy -3.456 eV/atom.